A plane-wave DFT calculation with GGA-PBE was carried out for an optimized crystal structure of Y4TmTl2.

```
Y4TmTl2
1.0
5.485 0.000 0.000
2.743 4.750 0.000
2.743 1.583 8.808
Y Tm Tl
4 1 2
direct
0.731 0.731 0.806
0.871 0.871 0.387
0.269 0.269 0.194
0.129 0.129 0.613
0.500 0.500 0.500
0.614 0.614 0.159
0.386 0.386 0.841
```

## Properties
- ΔE_f: 0.042 eV/atom
- E_tot: -4.966 eV/atom